Here is an optimized crystal structure of Ca2TcGeMo from Alexandria. Energies are from PBE.

Cell: 5.451 4.690 5.451 Å, 90.00 90.00 90.00°
Each line ends with the local moment (μB).
Fractional coordinates of all 5 atoms:
1 Ca 0.000 0.000 0.500  0.03
2 Ca 0.500 0.000 0.000  0.02
3 Mo 0.500 0.500 0.500  3.35
4 Tc 0.000 0.500 0.000  -1.42
5 Ge 0.000 0.000 0.000  0.03

Values from the calculation:
ΔE_f = 96.19 kJ/mol of atoms